(1)
VASP calculation (GGA-PBE) on Cd3Mo after structural relaxation.

* formation energy: 26.421 kcal/mol of atoms
* space-group type: Pm-3m (221)
* polymorph energy (0 for the lowest one): 867 meV per atom

The structure in CIF format:
```
data_Cd3Mo
_chemical_formula_sum 'Cd3 Mo1'
_cell_length_a 5.5332
_cell_length_b 5.5332
_cell_length_c 5.5332
_cell_angle_alpha 90.00
_cell_angle_beta 90.00
_cell_angle_gamma 90.00
_space_group_name_H-M_alt 'P 1'
_space_group_IT_number 1
_space_group_name_Hall 'P 1'
loop_
_atom_site_label
_atom_site_type_symbol
_atom_site_fract_x
_atom_site_fract_y
_atom_site_fract_z
Cd1 Cd 0.0000 0.0000 0.5000
Cd2 Cd 0.0000 0.5000 0.0000
Cd3 Cd 0.5000 0.0000 0.0000
Mo1 Mo 0.0000 0.0000 0.0000
```


(2)
VASP calculation (GGA-PBE) on La2Tb6PrDy3 after structural relaxation.

* formation energy: 0.459 kcal/mol of atoms
* space-group type: C2/m (12)

The structure in CIF format:
```
data_La2Tb6PrDy3
_chemical_formula_sum 'La2 Tb6 Pr1 Dy3'
_cell_length_a 6.2454
_cell_length_b 6.2454
_cell_length_c 11.9217
_cell_angle_alpha 95.02
_cell_angle_beta 95.02
_cell_angle_gamma 120.04
_space_group_name_H-M_alt 'P 1'
_space_group_IT_number 1
_space_group_name_Hall 'P 1'
loop_
_atom_site_label
_atom_site_type_symbol
_atom_site_fract_x
_atom_site_fract_y
_atom_site_fract_z
La1 La 0.1666 0.8334 0.0000
La2 La 0.8334 0.1666 0.0000
Tb1 Tb 0.0811 0.4142 0.7445
Tb2 Tb 0.2529 0.2529 0.2555
Tb3 Tb 0.4142 0.0811 0.7445
Tb4 Tb 0.5858 0.9189 0.2555
Tb5 Tb 0.7471 0.7471 0.7445
Tb6 Tb 0.9189 0.5858 0.2555
Pr1 Pr 0.5000 0.5000 0.0000
Dy1 Dy 0.0000 0.0000 0.5000
Dy2 Dy 0.3335 0.6665 0.5000
Dy3 Dy 0.6665 0.3335 0.5000
```


(3)
VASP calculation (GGA-PBE) on ZrTe2Rh after structural relaxation.

* E_form (uncorrected): -0.341 eV per atom
* space-group type: Fm-3m (225)
* polymorph energy (0 for the lowest one): 382 meV per atom

The structure in CIF format:
```
data_ZrTe2Rh
_chemical_formula_sum 'Zr4 Te8 Rh4'
_cell_length_a 6.9655
_cell_length_b 6.9655
_cell_length_c 6.9655
_cell_angle_alpha 90.00
_cell_angle_beta 90.00
_cell_angle_gamma 90.00
_space_group_name_H-M_alt 'P 1'
_space_group_IT_number 1
_space_group_name_Hall 'P 1'
loop_
_atom_site_label
_atom_site_type_symbol
_atom_site_fract_x
_atom_site_fract_y
_atom_site_fract_z
Zr1 Zr 0.0000 0.0000 0.0000
Zr2 Zr 0.0000 0.5000 0.5000
Zr3 Zr 0.5000 0.0000 0.5000
Zr4 Zr 0.5000 0.5000 0.0000
Te1 Te 0.2500 0.2500 0.2500
Te2 Te 0.2500 0.2500 0.7500
Te3 Te 0.2500 0.7500 0.2500
Te4 Te 0.2500 0.7500 0.7500
Te5 Te 0.7500 0.2500 0.2500
Te6 Te 0.7500 0.2500 0.7500
Te7 Te 0.7500 0.7500 0.2500
Te8 Te 0.7500 0.7500 0.7500
Rh1 Rh 0.0000 0.0000 0.5000
Rh2 Rh 0.0000 0.5000 0.0000
Rh3 Rh 0.5000 0.0000 0.0000
Rh4 Rh 0.5000 0.5000 0.5000
```


(4)
VASP calculation (GGA-PBE) on PmPrHo2P4 after structural relaxation.

* formation energy: -36.140 kcal/mol of atoms
* space-group type: P2/m (10)

The structure in CIF format:
```
data_PmPrHo2P4
_chemical_formula_sum 'Pm1 Pr1 Ho2 P4'
_cell_length_a 7.0596
_cell_length_b 4.0810
_cell_length_c 7.0648
_cell_angle_alpha 90.00
_cell_angle_beta 109.47
_cell_angle_gamma 90.00
_space_group_name_H-M_alt 'P 1'
_space_group_IT_number 1
_space_group_name_Hall 'P 1'
loop_
_atom_site_label
_atom_site_type_symbol
_atom_site_fract_x
_atom_site_fract_y
_atom_site_fract_z
Pm1 Pm 0.0000 0.0000 0.0000
Pr1 Pr 0.0000 0.5000 0.5000
Ho1 Ho 0.5000 0.0000 0.5000
Ho2 Ho 0.5000 0.5000 0.0000
P1 P 0.2602 0.5000 0.2515
P2 P 0.2616 0.0000 0.7558
P3 P 0.7384 0.0000 0.2442
P4 P 0.7398 0.5000 0.7485
```


(5)
VASP calculation (GGA-PBE) on AlVAs2Se after structural relaxation.

* E_form (uncorrected): 0.822 eV per atom
* space-group type: P4/mmm (123)
* polymorph energy (0 for the lowest one): 600 meV per atom

The structure in CIF format:
```
data_AlVAs2Se
_chemical_formula_sum 'Al1 V1 As2 Se1'
_cell_length_a 4.7567
_cell_length_b 4.7567
_cell_length_c 4.8948
_cell_angle_alpha 90.00
_cell_angle_beta 90.00
_cell_angle_gamma 90.00
_space_group_name_H-M_alt 'P 1'
_space_group_IT_number 1
_space_group_name_Hall 'P 1'
loop_
_atom_site_label
_atom_site_type_symbol
_atom_site_fract_x
_atom_site_fract_y
_atom_site_fract_z
Al1 Al 0.0000 0.0000 0.0000
V1 V 0.5000 0.5000 0.5000
As1 As 0.0000 0.5000 0.0000
As2 As 0.5000 0.0000 0.0000
Se1 Se 0.0000 0.0000 0.5000
```


(6)
VASP calculation (GGA-PBE) on CsLiIr2 after structural relaxation.

* formation energy: 16.216 kcal/mol of atoms
* space-group type: I-42d (122)
* polymorph energy (0 for the lowest one): 0 meV per atom

The structure in CIF format:
```
data_CsLiIr2
_chemical_formula_sum 'Cs4 Li4 Ir8'
_cell_length_a 4.5749
_cell_length_b 4.5749
_cell_length_c 19.4822
_cell_angle_alpha 90.00
_cell_angle_beta 90.00
_cell_angle_gamma 90.00
_space_group_name_H-M_alt 'P 1'
_space_group_IT_number 1
_space_group_name_Hall 'P 1'
loop_
_atom_site_label
_atom_site_type_symbol
_atom_site_fract_x
_atom_site_fract_y
_atom_site_fract_z
Cs1 Cs 0.0000 0.0000 0.0000
Cs2 Cs 0.0000 0.5000 0.2500
Cs3 Cs 0.5000 0.0000 0.7500
Cs4 Cs 0.5000 0.5000 0.5000
Li1 Li 0.0000 0.0000 0.5000
Li2 Li 0.0000 0.5000 0.7500
Li3 Li 0.5000 0.0000 0.2500
Li4 Li 0.5000 0.5000 0.0000
Ir1 Ir 0.0887 0.7500 0.6250
Ir2 Ir 0.2500 0.0887 0.3750
Ir3 Ir 0.2500 0.4113 0.8750
Ir4 Ir 0.4113 0.7500 0.1250
Ir5 Ir 0.5887 0.2500 0.1250
Ir6 Ir 0.7500 0.5887 0.8750
Ir7 Ir 0.7500 0.9113 0.3750
Ir8 Ir 0.9113 0.2500 0.6250
```


> Number 1 is which compound?

Cd3Mo